# Cs2MnW3O12

An optimized crystal structure of Cs2MnW3O12 (GGA+U, Alexandria).

The total energy comes out at -6.980 eV/atom. The symmetry is No. 166.

Cell: 7.2492 7.2492 7.2492 Å, 61.22 61.22 61.22°
With the nearest neighbours (Å) after each atom.
Fractional coordinates of all 18 atoms:
Cs  0.1297  0.1297  0.1297  9 O 3.23-3.53
Cs  0.8703  0.8703  0.8703  9 O 3.23-3.53
Mn  0.5000  0.5000  0.5000  6 O 1.92
W  0.0000  0.5000  0.5000  6 O 1.90-1.96
W  0.5000  0.0000  0.5000  6 O 1.90-1.96
W  0.5000  0.5000  0.0000  6 O 1.90-1.96
O  0.1851  0.1851  0.5571  2 W 1.96
O  0.1851  0.5571  0.1851  2 W 1.96
O  0.1926  0.5584  0.5584  1 W 1.90, 1 Mn 1.92
O  0.4416  0.4416  0.8074  1 W 1.90, 1 Mn 1.92
O  0.4416  0.8074  0.4416  1 W 1.90, 1 Mn 1.92
O  0.4429  0.8149  0.8149  2 W 1.96
O  0.5571  0.1851  0.1851  2 W 1.96
O  0.5584  0.1926  0.5584  1 W 1.90, 1 Mn 1.92
O  0.5584  0.5584  0.1926  1 W 1.90, 1 Mn 1.92
O  0.8074  0.4416  0.4416  1 W 1.90, 1 Mn 1.92
O  0.8149  0.4429  0.8149  2 W 1.96
O  0.8149  0.8149  0.4429  2 W 1.96